Here is NaSrScGe2 at its PBEsol-relaxed geometry from Alexandria. Energies are from meta-GGA SCAN.

formation energy from the elements = 5.18 eV/f.u.
total energy = -14.745 eV per atom

Cell lengths 5.318, 5.569, 5.569 Å; angles 90.00, 90.00, 90.00 degrees
Sites, in units of the cell vectors:
Sc: 0.500 0.000 0.000
Sr: 0.000 0.000 0.000
Ge: 0.000 0.500 0.000
Ge: 0.000 0.000 0.500
Na: 0.500 0.500 0.500